Density functional theory data (PBE-GGA) for an optimized crystal structure of YZn2Re.

Values from the calculation:
Mass density ... 9.530 g/cm³
ΔH_f (0 K) ... 0.352 eV per atom

a b c (Å): 2.9028 2.9028 29.0785
angles (deg): 90.00 90.00 120.00
Space group R-3m (No. 166, hexagonal axes)
Asymmetric unit:
Y 0.0000 0.0000 0.0000 x3
Zn 0.0000 0.0000 0.2415 x6
Re 0.0000 0.0000 0.5000 x3